First-principles (GGA+U) data for a geometry-optimized NaNd2MoO5 structure, as listed in Alexandria.

Geometry as POSCAR:
```
NaNd2MoO5
1.0
-5.3247 1.6725 -1.6133
-2.4765 -6.2295 1.7155
-1.2360 2.2600 6.4224
Na Nd Mo O
2 4 2 10
direct
0.0000 0.5000 0.5000
0.0000 0.0000 0.0000
0.5000 0.6779 0.1779
0.5000 0.1779 0.3221
0.5000 0.8221 0.6779
0.5000 0.3221 0.8221
0.0000 0.0000 0.5000
0.0000 0.5000 0.0000
0.5000 0.5000 0.5000
0.5000 0.0000 0.0000
0.2479 0.1369 0.6370
0.2479 0.8630 0.3630
0.2479 0.3630 0.1369
0.2479 0.6370 0.8630
0.7521 0.1369 0.6370
0.7521 0.6370 0.8630
0.7521 0.8630 0.3630
0.7521 0.3630 0.1369
```

Output
Its symmetry is No. 127. The total energy is -127.81 eV per cell.